1.
A relaxed structure of K3SmAg2Br9. Source: Alexandria via LeMat-Bulk, functional GGA-PBE.

Computed properties:
SG   P-3m1 (164)
Energy relative to the elements, uncorrected   -1253 meV/atom
Raw total energy   -0.2331 Ry/atom

```
K3SmAg2Br9
1.0
7.8608 0.0000 0.0000
-3.9304 6.8077 0.0000
0.0000 0.0000 9.8589
K Sm Ag Br
3 1 2 9
Direct
0.3333 0.6667 0.7279 K
0.0000 0.0000 0.0000 K
0.6667 0.3333 0.2721 K
0.0000 0.0000 0.5000 Sm
0.3333 0.6667 0.1565 Ag
0.6667 0.3333 0.8435 Ag
0.8330 0.1670 0.6720 Br
0.8330 0.6659 0.6720 Br
0.3341 0.1670 0.6720 Br
0.6659 0.8330 0.3280 Br
0.1670 0.3341 0.3280 Br
0.1670 0.8330 0.3280 Br
0.5000 0.0000 0.0000 Br
0.0000 0.5000 0.0000 Br
0.5000 0.5000 0.0000 Br
```

***

2.
A relaxed structure of Mn2PSe. Source: Alexandria via LeMat-Bulk, functional GGA-PBE.

Computed properties:
SG   Fm-3m (225)
Energy relative to the elements, uncorrected   59 meV/atom
Raw total energy   -0.4961 Ry/atom

```
Mn2PSe
1.0
0.0000 2.8874 2.8874
2.8874 0.0000 2.8874
2.8874 2.8874 0.0000
P Mn Se
1 2 1
Direct
0.0000 0.0000 0.0000 P
0.2500 0.2500 0.2500 Mn
0.7500 0.7500 0.7500 Mn
0.5000 0.5000 0.5000 Se
```

***

3.
A relaxed structure of Sc2NbPb. Source: Alexandria via LeMat-Bulk, functional GGA-PBE.

Computed properties:
Formation energy   0.404 eV/atom
SG   I-42d (122)
Raw total energy   -0.4561 Ry/atom

```
Sc2NbPb
1.0
4.2240 0.0000 0.0000
0.0000 4.2240 0.0000
2.1120 2.1120 10.4947
Pb Sc Nb
2 4 2
Direct
0.0000 0.0000 0.0000 Pb
0.7500 0.2500 0.5000 Pb
0.6176 0.1250 0.2500 Sc
0.1324 0.6250 0.2500 Sc
0.3750 0.3824 0.7500 Sc
0.8750 0.8676 0.7500 Sc
0.5000 0.5000 0.0000 Nb
0.2500 0.7500 0.5000 Nb
```

***

4.
A relaxed structure of FeSb. Source: Alexandria via LeMat-Bulk, functional GGA-PBE.

Computed properties:
SG   Pmmn (59)
Energy relative to the elements, uncorrected   296 meV/atom
Raw total energy   -0.4408 Ry/atom

```
FeSb
1.0
3.3450 0.0000 0.0000
0.0000 3.7723 0.0000
0.0000 0.0000 5.3112
Fe Sb
2 2
Direct
0.0000 0.0000 0.0452 Fe
0.5000 0.5000 0.7048 Fe
0.0000 0.0000 0.5628 Sb
0.5000 0.5000 0.1872 Sb
```

***

5.
A relaxed structure of Ni2AgIr. Source: Alexandria via LeMat-Bulk, functional GGA-PBE.

Computed properties:
Formation energy   0.216 eV/atom
SG   R3m (160)
Raw total energy   -0.4118 Ry/atom

```
Ni2AgIr
1.0
8.8715 0.0016 0.0009
8.4618 2.6647 0.0009
8.4618 1.3016 2.3252
Ag Ir Ni
1 1 2
Direct
0.5042 0.5042 0.5042 Ag
0.7420 0.7420 0.7420 Ir
0.9968 0.9968 0.9968 Ni
0.2569 0.2569 0.2569 Ni
```

***

6.
A relaxed structure of FeTc. Source: Alexandria via LeMat-Bulk, functional GGA-PBE.

Computed properties:
Formation energy   1.327 eV/atom
SG   F-43m (216)
Raw total energy   -0.5944 Ry/atom

```
FeTc
1.0
-1.8232 -0.6979 3.1279
-2.7909 -2.4096 0.0088
0.3876 -3.2639 1.6708
Fe Tc
1 1
Direct
0.0000 0.0000 0.0000 Fe
0.7500 0.7500 0.7500 Tc
```

***

7.
A relaxed structure of Mg2Ag3Sn. Source: Alexandria via LeMat-Bulk, functional GGA-PBE.

Computed properties:
Formation energy   -0.055 eV/atom
SG   C2/c (15)
Raw total energy   -0.1970 Ry/atom

```
Mg2Ag3Sn
1.0
-4.7883 2.9856 -2.2226
-3.5129 -2.3501 4.4113
4.6683 4.2606 3.9402
Mg Ag Sn
4 6 2
Direct
0.6641 0.5911 0.3442 Mg
0.6801 0.0911 0.3442 Mg
0.3199 0.9089 0.6558 Mg
0.3359 0.4089 0.6558 Mg
0.7385 0.2500 0.0000 Ag
0.2615 0.7500 0.0000 Ag
0.1519 0.0715 0.2985 Ag
0.8534 0.4285 0.7015 Ag
0.1466 0.5715 0.2985 Ag
0.8481 0.9285 0.7015 Ag
0.7348 0.7500 0.0000 Sn
0.2652 0.2500 0.0000 Sn
```

***

8.
A relaxed structure of Mg2ZnCu. Source: Alexandria via LeMat-Bulk, functional GGA-PBE.

Computed properties:
Formation energy   0.066 eV/atom
SG   Pmmn (59)
Raw total energy   -0.1524 Ry/atom

```
Mg2ZnCu
1.0
2.8840 0.0000 0.0000
0.0000 4.5166 0.0000
0.0000 0.0000 10.5522
Mg Zn Cu
4 2 2
Direct
0.5000 0.5000 0.0604 Mg
0.0000 0.0000 0.9396 Mg
0.5000 0.0000 0.4333 Mg
0.0000 0.5000 0.5667 Mg
0.5000 0.0000 0.1890 Zn
0.0000 0.5000 0.8110 Zn
0.0000 0.5000 0.2968 Cu
0.5000 0.0000 0.7032 Cu
```

***

Q: raw total energy of number 6 (FeTc)?
A: -0.5944 Ry/atom

***

Q: Which of these has the highest raw total energy?
A: Mg2ZnCu

***

Q: What is the raw total energy in the second record?
A: -0.4961 Ry/atom